Entry 1:
This record from Alexandria describes a relaxed structure of Sr2AlGaCo. The functional is PBE-GGA.

abc: 5.6028 4.6142 5.6028
angles: 90.00 90.00 90.00
Fractional positions:
1 Sr 0.5000 0.0000 0.0000
2 Sr 0.0000 0.0000 0.5000
3 Al 0.5000 0.5000 0.5000
4 Ga 0.0000 0.5000 0.0000
5 Co 0.0000 0.0000 0.0000

## Properties
Formation enthalpy at 0 K: 0.15 eV per atom
SG: P4/mmm, No. 123
Spin magnetization: 0.108 μB/atom
DOS at the Fermi energy: 5.76 states/eV/f.u.

Entry 2:
This record from Alexandria describes a relaxed structure of SrCr2FeOs. The functional is PBE-GGA.

abc: 4.3703 4.2726 4.3703
angles: 90.00 90.00 90.00
Fractional positions:
1 Fe 0.0000 0.5000 0.0000
2 Sr 0.0000 0.0000 0.0000
3 Cr 0.0000 0.0000 0.5000
4 Os 0.5000 0.5000 0.5000
5 Cr 0.5000 0.0000 0.0000

## Properties
Formation enthalpy at 0 K: 3.09 eV per atom
SG: P4/mmm, No. 123
Spin magnetization: 0.001 μB/atom
DOS at the Fermi energy: 11.69 states/eV/f.u.

Entry 3:
This record from Alexandria describes a relaxed structure of NaVCu2Se. The functional is PBE-GGA.

abc: 4.5251 5.0192 4.5251
angles: 90.00 90.00 90.00
Fractional positions:
1 Cu 0.0000 0.0000 0.5000
2 V 0.5000 0.5000 0.5000
3 Se 0.0000 0.5000 0.0000
4 Cu 0.5000 0.0000 0.0000
5 Na 0.0000 0.0000 0.0000

## Properties
SG: P4/mmm, No. 123
Spin magnetization: 0.668 μB/atom
Formation energy (no corrections): 1115 meV/atom
DOS at the Fermi energy: 5.18 states/eV/f.u.

What did the third record say?
This record from Alexandria describes a relaxed structure of NaVCu2Se. The functional is PBE-GGA.

abc: 4.5251 5.0192 4.5251
angles: 90.00 90.00 90.00
Fractional positions:
1 Cu 0.0000 0.0000 0.5000
2 V 0.5000 0.5000 0.5000
3 Se 0.0000 0.5000 0.0000
4 Cu 0.5000 0.0000 0.0000
5 Na 0.0000 0.0000 0.0000

## Properties
SG: P4/mmm, No. 123
Spin magnetization: 0.668 μB/atom
Formation energy (no corrections): 1115 meV/atom
DOS at the Fermi energy: 5.18 states/eV/f.u.